Below is a relaxed NaZn2Pd crystal, with properties calculated at the PBE level.

Computed properties:
* density of states at the Fermi level: 1.7 states/eV/f.u.
* energy: -2.26 eV/atom
* symmetry: I-42d (122)
* energy relative to the elements: 3.5 kJ/mol of formula units

abc: 4.824 4.824 17.403
angles: 90.00 90.00 90.00
Fractional positions:
Na 0.000 0.000 0.000
Na 0.000 0.500 0.250
Na 0.500 0.000 0.750
Na 0.500 0.500 0.500
Zn 0.008 0.250 0.625
Zn 0.250 0.508 0.875
Zn 0.250 0.992 0.375
Zn 0.492 0.250 0.125
Zn 0.508 0.750 0.125
Zn 0.750 0.008 0.375
Zn 0.750 0.492 0.875
Zn 0.992 0.750 0.625
Pd 0.000 0.000 0.500
Pd 0.000 0.500 0.750
Pd 0.500 0.000 0.250
Pd 0.500 0.500 0.000

Below is a relaxed NaZn9Pd2 crystal, with properties calculated at the PBE level.

Computed properties:
* density of states at the Fermi level: 3.0 states/eV/f.u.
* energy: -2.10 eV/atom
* symmetry: P6/mmm (191)
* energy relative to the elements: -191.3 kJ/mol of formula units

abc: 8.905 8.905 2.778
angles: 90.00 90.00 120.00
Fractional positions:
Na 0.000 0.000 0.000
Zn 0.000 0.500 0.000
Zn 0.181 0.361 0.500
Zn 0.181 0.819 0.500
Zn 0.361 0.181 0.500
Zn 0.500 0.000 0.000
Zn 0.500 0.500 0.000
Zn 0.639 0.819 0.500
Zn 0.819 0.181 0.500
Zn 0.819 0.639 0.500
Pd 0.333 0.667 0.000
Pd 0.667 0.333 0.000

Below is a relaxed NaZn4Pd5 crystal, with properties calculated at the PBE level.

Computed properties:
* density of states at the Fermi level: 2.2 states/eV/f.u.
* energy: -3.71 eV/atom
* symmetry: P4/mmm (123)
* energy relative to the elements: -452.6 kJ/mol of formula units

abc: 2.945 2.945 17.710
angles: 90.00 90.00 90.00
Fractional positions:
Na 0.000 0.000 0.000
Zn 0.000 0.000 0.215
Zn 0.000 0.000 0.405
Zn 0.000 0.000 0.595
Zn 0.000 0.000 0.785
Pd 0.500 0.500 0.127
Pd 0.500 0.500 0.311
Pd 0.500 0.500 0.500
Pd 0.500 0.500 0.689
Pd 0.500 0.500 0.873

Below is a relaxed NaZn2Pd2 crystal, with properties calculated at the PBE level.

Computed properties:
* density of states at the Fermi level: 1.2 states/eV/f.u.
* energy: -3.13 eV/atom
* symmetry: I4/mmm (139)
* energy relative to the elements: -136.6 kJ/mol of formula units

abc: 4.125 4.125 10.906
angles: 90.00 90.00 90.00
Fractional positions:
Na 0.000 0.000 0.000
Na 0.500 0.500 0.500
Zn 0.000 0.000 0.386
Zn 0.000 0.000 0.614
Zn 0.500 0.500 0.114
Zn 0.500 0.500 0.886
Pd 0.000 0.500 0.250
Pd 0.000 0.500 0.750
Pd 0.500 0.000 0.250
Pd 0.500 0.000 0.750

Below is a relaxed NaZn11Pd crystal, with properties calculated at the PBE level.

Computed properties:
* density of states at the Fermi level: 3.6 states/eV/f.u.
* energy: -1.69 eV/atom
* symmetry: C2/m (12)
* energy relative to the elements: -142.6 kJ/mol of formula units

abc: 6.909 6.909 6.633
angles: 98.06 98.06 134.74
Fractional positions:
Na 0.000 0.000 0.000
Zn 0.000 0.500 0.000
Zn 0.015 0.666 0.648
Zn 0.278 0.501 0.781
Zn 0.334 0.985 0.352
Zn 0.499 0.722 0.219
Zn 0.500 0.000 0.000
Zn 0.500 0.500 0.500
Zn 0.501 0.278 0.781
Zn 0.666 0.015 0.648
Zn 0.722 0.499 0.219
Zn 0.985 0.334 0.352
Pd 0.000 0.000 0.500

Below is a relaxed NaZn2Pd2 crystal, with properties calculated at the PBE level.

Computed properties:
* density of states at the Fermi level: 1.3 states/eV/f.u.
* energy: -3.27 eV/atom
* symmetry: P4/mbm (127)
* energy relative to the elements: -201.7 kJ/mol of formula units

abc: 7.629 7.629 2.843
angles: 90.00 90.00 90.00
Fractional positions:
Na 0.000 0.000 0.000
Na 0.500 0.500 0.000
Zn 0.159 0.341 0.500
Zn 0.341 0.841 0.500
Zn 0.659 0.159 0.500
Zn 0.841 0.659 0.500
Pd 0.137 0.637 0.000
Pd 0.363 0.137 0.000
Pd 0.637 0.863 0.000
Pd 0.863 0.363 0.000

Below is a relaxed Na2ZnPd3 crystal, with properties calculated at the PBE level.

Computed properties:
* density of states at the Fermi level: 2.6 states/eV/f.u.
* energy: -3.56 eV/atom
* symmetry: C2/m (12)
* energy relative to the elements: -178.4 kJ/mol of formula units

abc: 8.882 5.516 5.210
angles: 90.00 121.55 90.00
Fractional positions:
Na 0.122 0.000 0.378
Na 0.378 0.500 0.622
Na 0.622 0.500 0.378
Na 0.878 0.000 0.622
Zn 0.000 0.500 0.000
Zn 0.500 0.000 0.000
Pd 0.000 0.500 0.500
Pd 0.250 0.250 0.000
Pd 0.250 0.750 0.000
Pd 0.500 0.000 0.500
Pd 0.750 0.250 0.000
Pd 0.750 0.750 0.000

Below is a relaxed NaZn2Pd crystal, with properties calculated at the PBE level.

Computed properties:
* density of states at the Fermi level: 1.3 states/eV/f.u.
* energy: -2.45 eV/atom
* symmetry: P4/mmm (123)
* energy relative to the elements: -72.4 kJ/mol of formula units

abc: 3.123 3.123 7.374
angles: 90.00 90.00 90.00
Fractional positions:
Na 0.000 0.000 0.000
Zn 0.500 0.500 0.302
Zn 0.500 0.500 0.698
Pd 0.000 0.000 0.500

Question: Which of these has the lowest energy?
Answer: NaZn4Pd5